# 1
Entry from the Alexandria database: KCr3Co after structural relaxation (PBEsol).

extended XYZ file:
```
5
Lattice="4.627 0.000 0.000 0.000 4.627 0.000 0.000 0.000 4.627" Properties=species:S:1:pos:R:3 pbc="T T T"
Cr 0.000 2.314 0.000
Cr 0.000 0.000 2.314
Cr 2.314 0.000 0.000
K 2.314 2.314 2.314
Co 0.000 0.000 0.000
```

Properties
Energy of formation from the pure elements = 691 kJ/mol of formula units
VASP energy = -6.49 eV/atom
Total magnetization = 10.3 Bohr magnetons per cell
Space group = No. 221

---

# 2
Entry from the Alexandria database: Th3In after structural relaxation (PBEsol).

extended XYZ file:
```
4
Lattice="-2.324 -4.271 0.372 3.016 -1.328 3.594 -3.046 1.943 3.274" Properties=species:S:1:pos:R:3 pbc="T T T"
Th -0.015 0.307 3.434
Th -2.685 -1.164 1.823
Th 0.346 -2.799 1.983
In 0.000 0.000 0.000
```

Properties
Energy of formation from the pure elements = -72 kJ/mol of formula units
VASP energy = -7.01 eV/atom
Total magnetization = 0.0 Bohr magnetons per cell
Space group = No. 221